## Pu3Si4Ir2 (PBE)

Data for Pu3Si4Ir2 after structural relaxation.

Computed properties:
As for the total energy: -88.079 eV for the cell shown. The uncorrected formation energy is -14.5 kcal/mol of atoms.

a = 4.0700 Å, b = 5.8142 Å, c = 8.1064 Å
α = 103.49°, β = 90.00°, γ = 110.49°
With the nearest neighbours (Å) after each atom.
Positions (direct):
Si 0.9600 0.9201 0.6212  1 Si 2.34, 2 Ir 2.39
Pu 0.0000 0.0000 0.0000  8 Si 2.99-3.18, 4 Ir 3.02
Pu 0.3267 0.6535 0.3433  8 Si 3.01-3.23, 4 Ir 3.01-3.24
Pu 0.6733 0.3465 0.6567  8 Si 3.01-3.23, 4 Ir 3.01-3.24
Ir 0.6067 0.2135 0.2730  3 Si 2.39-2.40
Ir 0.3933 0.7865 0.7270  3 Si 2.39-2.40
Si 0.7315 0.4630 0.0678  2 Si 2.39, 1 Ir 2.40
Si 0.0400 0.0799 0.3788  1 Si 2.34, 2 Ir 2.39
Si 0.2685 0.5370 0.9322  2 Si 2.39, 1 Ir 2.40

=====

## Li2FeOsPd (PBE)

Data for Li2FeOsPd after structural relaxation.

Computed properties:
As for the total energy: -22.072 eV for the cell shown. The calculation puts the formation energy at 1.33 eV per atom.

a = 4.1213 Å, b = 4.9086 Å, c = 4.1213 Å
α = 90.00°, β = 90.00°, γ = 90.00°
With the nearest neighbours (Å) after each atom.
Positions (direct):
Fe 0.5000 0.5000 0.5000  4 Os 2.91, 8 Li 3.20
Os 0.0000 0.5000 0.0000  2 Pd 2.45
Li 0.5000 0.0000 0.0000  2 Pd 2.06
Pd 0.0000 0.0000 0.0000  4 Li 2.06
Li 0.0000 0.0000 0.5000  2 Pd 2.06

=====

## Dy6Tl2Hg (PBE)

Data for Dy6Tl2Hg after structural relaxation.

Computed properties:
As for the total energy: -35.051 eV for the cell shown. The value obtained for the energy above the most stable polymorph in this dataset is 0 meV per atom. The calculation puts the formation energy at -0.27 eV per atom.

a = 3.7623 Å, b = 8.8818 Å, c = 8.8813 Å
α = 120.00°, β = 90.00°, γ = 90.00°
With the nearest neighbours (Å) after each atom.
Positions (direct):
Hg 0.5000 0.0001 0.0000  9 Dy 3.08-3.45
Dy 0.0000 0.9999 0.2749  2 Hg 3.08, 2 Tl 3.25
Dy 0.5000 0.0000 0.6120  4 Tl 3.33, 1 Hg 3.45, 6 Dy 3.54-3.60
Dy 0.0000 0.2751 0.0000  2 Hg 3.08, 2 Tl 3.25
Dy 0.5000 0.6119 0.0000  4 Tl 3.33, 1 Hg 3.45, 6 Dy 3.53-3.60
Dy 0.5000 0.3880 0.3880  4 Tl 3.33, 1 Hg 3.45, 6 Dy 3.54-3.60
Tl 0.0000 0.3333 0.6667  9 Dy 3.25-3.33
Dy 0.0000 0.7251 0.7251  2 Hg 3.08, 2 Tl 3.25
Tl 0.0000 0.6667 0.3333  9 Dy 3.25-3.33

=====

## Os2RuPb (PBE)

Data for Os2RuPb after structural relaxation.

Computed properties:
As for the total energy: -32.744 eV for the cell shown. The calculation puts the formation energy at 0.67 eV per atom.

a = 2.8209 Å, b = 3.7089 Å, c = 6.6233 Å
α = 90.00°, β = 90.00°, γ = 90.00°
With the nearest neighbours (Å) after each atom.
Positions (direct):
Os 0.5000 0.5000 0.1942  1 Ru 2.63, 6 Os 2.65-2.82
Ru 0.5000 0.5000 0.7968  5 Os 2.63-2.70, 2 Ru 2.82
Pb 0.0000 0.0000 0.5054  2 Pb 2.82, 4 Ru 3.03, 4 Os 3.11
Os 0.0000 0.0000 0.0035  6 Os 2.65-2.82, 4 Ru 2.70